# 1
A plane-wave DFT calculation with PBE-GGA was carried out for an optimized crystal structure of CaZrBr2.

POSCAR file:
```
CaZrBr2
1.0
-2.577 2.577 9.015
2.577 -2.577 9.015
2.577 2.577 -9.015
Ca Zr Br
2 2 4
direct
0.000 0.000 0.000
0.750 0.250 0.500
0.250 0.750 0.500
0.500 0.500 0.000
0.153 0.625 0.028
0.375 0.403 0.528
0.597 0.125 0.972
0.875 0.847 0.472
```

mass density: 4.0 g/cm3
uncorrected energy: -3.9885 eV per atom
total moment: 5.39 Bohr magnetons per cell
energy above the lowest structure with this stoichiometry: 37.4 kJ per mole of atoms
energy relative to the elements, uncorrected: -0.515 eV/atom

# 2
A plane-wave DFT calculation with PBE-GGA was carried out for an optimized crystal structure of CaZrBr2.

POSCAR file:
```
CaZrBr2
1.0
-2.002 2.002 6.759
2.002 -2.002 6.759
2.002 2.002 -6.759
Ca Zr Br
1 1 2
direct
0.000 0.000 0.000
0.250 0.750 0.500
0.500 0.500 0.000
0.750 0.250 0.500
```

mass density: 4.5 g/cm3
uncorrected energy: -3.9371 eV per atom
total moment: 0.00 Bohr magnetons per cell
energy above the lowest structure with this stoichiometry: 42.4 kJ per mole of atoms
energy relative to the elements, uncorrected: -0.463 eV/atom